Record 1
VASP calculation (PBE) on a relaxed structure of RbLa2Tl2.

Computed properties:
Total energy: -0.1138 hartree per atom
ΔH_f (0 K): 0.01 eV/atom
Density of states at the Fermi level: 7.97 states/eV per cell

```
RbLa2Tl2
1.0
-2.601 2.601 7.378
2.601 -2.601 7.378
2.601 2.601 -7.378
Rb La Tl
1 2 2
Direct
0.000 0.000 0.000
0.250 0.750 0.500
0.750 0.250 0.500
0.397 0.397 0.000
0.603 0.603 0.000
```

***

Record 2
VASP calculation (PBE) on a relaxed structure of RbLaTlZn2.

Computed properties:
Total energy: -0.0425 hartree per atom
ΔH_f (0 K): 1.01 eV/atom
Density of states at the Fermi level: 5.51 states/eV per cell

```
RbLaTlZn2
1.0
5.529 0.000 0.000
0.000 5.529 0.000
0.000 0.000 6.222
Rb La Tl Zn
1 1 1 2
Direct
0.000 0.000 0.000
0.000 0.000 0.500
0.500 0.500 0.500
0.000 0.500 0.000
0.500 0.000 0.000
```